1.
# GGA-PBE TlRhAu, optimized geometry
data_TlRhAu
_cell_length_a 4.5358
_cell_length_b 4.5358
_cell_length_c 3.1561
_cell_angle_alpha 90.00
_cell_angle_beta 90.00
_cell_angle_gamma 120.00
_space_group_name_H-M_alt 'P 3 m 1'
_space_group_IT_number 156
_space_group_name_Hall 'P 3 -2"'
loop_
_atom_site_label
_atom_site_fract_x
_atom_site_fract_y
_atom_site_fract_z
Tl1 0.0000 0.0000 0.0000
Rh1 0.3333 0.6667 0.6915
Au1 0.6667 0.3333 0.3318
# - excess energy over the best structure of this formula in the dataset (meV per atom) = 98
# - formation energy from the elements (meV/atom) = 211
# - V (Å³ per cell) = 56.2

---

2.
# GGA-PBE Tl4RhAu, optimized geometry
data_Tl4RhAu
_cell_length_a 8.634
_cell_length_b 8.634
_cell_length_c 8.634
_cell_angle_alpha 90.00
_cell_angle_beta 90.00
_cell_angle_gamma 90.00
_space_group_name_H-M_alt 'F -4 3 m'
_space_group_IT_number 216
_space_group_name_Hall 'F -4 2 3'
loop_
_atom_site_label
_atom_site_fract_x
_atom_site_fract_y
_atom_site_fract_z
Tl1 0.125 0.125 0.125
Rh1 0.000 0.000 0.500
Au1 0.250 0.250 0.750
# - excess energy over the best structure of this formula in the dataset (meV per atom) = 639
# - formation energy from the elements (meV/atom) = 678
# - V (Å³ per cell) = 643.6

---

3.
# GGA-PBE TlRhAu2, optimized geometry
data_TlRhAu2
_cell_length_a 4.018
_cell_length_b 4.018
_cell_length_c 9.149
_cell_angle_alpha 90.00
_cell_angle_beta 90.00
_cell_angle_gamma 90.00
_space_group_name_H-M_alt 'I 4/m m m'
_space_group_IT_number 139
_space_group_name_Hall '-I 4 2'
loop_
_atom_site_label
_atom_site_fract_x
_atom_site_fract_y
_atom_site_fract_z
Tl1 0.000 0.000 0.000
Rh1 0.000 0.000 0.500
Au1 0.000 0.500 0.250
# - excess energy over the best structure of this formula in the dataset (meV per atom) = 105
# - formation energy from the elements (meV/atom) = 158
# - V (Å³ per cell) = 147.7

---

4.
# GGA-PBE TlRhAu2, optimized geometry
data_TlRhAu2
_cell_length_a 3.510
_cell_length_b 3.510
_cell_length_c 6.011
_cell_angle_alpha 90.00
_cell_angle_beta 90.00
_cell_angle_gamma 90.00
_space_group_name_H-M_alt 'P 4 m m'
_space_group_IT_number 99
_space_group_name_Hall 'P 4 -2'
loop_
_atom_site_label
_atom_site_fract_x
_atom_site_fract_y
_atom_site_fract_z
Tl1 0.000 0.000 0.000
Rh1 0.500 0.500 0.778
Au1 0.000 0.000 0.518
Au2 0.500 0.500 0.288
# - excess energy over the best structure of this formula in the dataset (meV per atom) = 94
# - formation energy from the elements (meV/atom) = 147
# - V (Å³ per cell) = 74.1

---

5.
# GGA-PBE TlRhAu2, optimized geometry
data_TlRhAu2
_cell_length_a 5.581
_cell_length_b 10.393
_cell_length_c 3.119
_cell_angle_alpha 90.00
_cell_angle_beta 123.51
_cell_angle_gamma 90.00
_space_group_name_H-M_alt 'C 1 2/m 1'
_space_group_IT_number 12
_space_group_name_Hall '-C 2y'
loop_
_atom_site_label
_atom_site_fract_x
_atom_site_fract_y
_atom_site_fract_z
Tl1 0.000 0.000 0.000
Rh1 0.000 0.500 0.000
Au1 0.250 0.250 0.500
# - excess energy over the best structure of this formula in the dataset (meV per atom) = 63
# - formation energy from the elements (meV/atom) = 117
# - V (Å³ per cell) = 150.8

---

6.
# GGA-PBE TlRhAu2, optimized geometry
data_TlRhAu2
_cell_length_a 4.272
_cell_length_b 4.272
_cell_length_c 7.989
_cell_angle_alpha 90.00
_cell_angle_beta 90.00
_cell_angle_gamma 90.00
_space_group_name_H-M_alt 'I -4 m 2'
_space_group_IT_number 119
_space_group_name_Hall 'I -4 -2'
loop_
_atom_site_label
_atom_site_fract_x
_atom_site_fract_y
_atom_site_fract_z
Tl1 0.000 0.000 0.000
Rh1 0.000 0.500 0.250
Au1 0.000 0.000 0.500
Au2 0.000 0.500 0.750
# - excess energy over the best structure of this formula in the dataset (meV per atom) = 62
# - formation energy from the elements (meV/atom) = 116
# - V (Å³ per cell) = 145.8

---

7.
# GGA-PBE TlRhAu2, optimized geometry
data_TlRhAu2
_cell_length_a 9.202
_cell_length_b 3.223
_cell_length_c 5.164
_cell_angle_alpha 90.00
_cell_angle_beta 102.61
_cell_angle_gamma 90.00
_space_group_name_H-M_alt 'C 1 m 1'
_space_group_IT_number 8
_space_group_name_Hall 'C -2y'
loop_
_atom_site_label
_atom_site_fract_x
_atom_site_fract_y
_atom_site_fract_z
Tl1 0.000 0.000 0.000
Rh1 0.254 0.000 0.779
Au1 0.010 0.500 0.519
Au2 0.259 0.500 0.292
# - excess energy over the best structure of this formula in the dataset (meV per atom) = 96
# - formation energy from the elements (meV/atom) = 149
# - V (Å³ per cell) = 149.5

---

8.
# GGA-PBE Tl2RhAu2, optimized geometry
data_Tl2RhAu2
_cell_length_a 4.171
_cell_length_b 4.171
_cell_length_c 13.384
_cell_angle_alpha 90.00
_cell_angle_beta 90.00
_cell_angle_gamma 90.00
_space_group_name_H-M_alt 'I 4/m m m'
_space_group_IT_number 139
_space_group_name_Hall '-I 4 2'
loop_
_atom_site_label
_atom_site_fract_x
_atom_site_fract_y
_atom_site_fract_z
Tl1 0.000 0.500 0.250
Rh1 0.000 0.000 0.000
Au1 0.000 0.000 0.404
# - excess energy over the best structure of this formula in the dataset (meV per atom) = 340
# - formation energy from the elements (meV/atom) = 628
# - V (Å³ per cell) = 232.8

---

9.
# GGA-PBE TlRhAu2, optimized geometry
data_TlRhAu2
_cell_length_a 3.920
_cell_length_b 3.920
_cell_length_c 20.553
_cell_angle_alpha 90.00
_cell_angle_beta 90.00
_cell_angle_gamma 90.00
_space_group_name_H-M_alt 'I -4 2 d'
_space_group_IT_number 122
_space_group_name_Hall 'I -4 2bw'
loop_
_atom_site_label
_atom_site_fract_x
_atom_site_fract_y
_atom_site_fract_z
Tl1 0.000 0.000 0.000
Rh1 0.000 0.000 0.500
Au1 0.242 0.250 0.625
# - excess energy over the best structure of this formula in the dataset (meV per atom) = 152
# - formation energy from the elements (meV/atom) = 205
# - V (Å³ per cell) = 315.9

---

10.
# GGA-PBE TlRhAu2, optimized geometry
data_TlRhAu2
_cell_length_a 3.265
_cell_length_b 3.265
_cell_length_c 7.239
_cell_angle_alpha 90.00
_cell_angle_beta 90.00
_cell_angle_gamma 90.00
_space_group_name_H-M_alt 'P 4/m m m'
_space_group_IT_number 123
_space_group_name_Hall '-P 4 2'
loop_
_atom_site_label
_atom_site_fract_x
_atom_site_fract_y
_atom_site_fract_z
Tl1 0.000 0.000 0.000
Rh1 0.000 0.000 0.500
Au1 0.500 0.500 0.285
# - excess energy over the best structure of this formula in the dataset (meV per atom) = 177
# - formation energy from the elements (meV/atom) = 230
# - V (Å³ per cell) = 77.2

---

11.
# GGA-PBE TlRh4Au, optimized geometry
data_TlRh4Au
_cell_length_a 7.394
_cell_length_b 7.394
_cell_length_c 7.394
_cell_angle_alpha 90.00
_cell_angle_beta 90.00
_cell_angle_gamma 90.00
_space_group_name_H-M_alt 'F -4 3 m'
_space_group_IT_number 216
_space_group_name_Hall 'F -4 2 3'
loop_
_atom_site_label
_atom_site_fract_x
_atom_site_fract_y
_atom_site_fract_z
Tl1 0.000 0.000 0.000
Rh1 0.125 0.125 0.375
Au1 0.250 0.250 0.750
# - formation energy from the elements (meV/atom) = 336
# - V (Å³ per cell) = 404.2

---

12.
# GGA-PBE TlRhAu2, optimized geometry
data_TlRhAu2
_cell_length_a 2.9927
_cell_length_b 2.9927
_cell_length_c 30.0940
_cell_angle_alpha 90.00
_cell_angle_beta 90.00
_cell_angle_gamma 120.00
_space_group_name_H-M_alt 'R -3 m'
_space_group_IT_number 166
_space_group_name_Hall '-R 3 2"'
loop_
_atom_site_label
_atom_site_fract_x
_atom_site_fract_y
_atom_site_fract_z
Tl1 0.0000 0.0000 0.0000
Rh1 0.0000 0.0000 0.5000
Au1 0.0000 0.0000 0.2411
# - excess energy over the best structure of this formula in the dataset (meV per atom) = 276
# - formation energy from the elements (meV/atom) = 329
# - V (Å³ per cell) = 233.4

---

13.
# GGA-PBE TlRhAu2, optimized geometry
data_TlRhAu2
_cell_length_a 4.067
_cell_length_b 4.067
_cell_length_c 4.408
_cell_angle_alpha 90.00
_cell_angle_beta 90.00
_cell_angle_gamma 90.00
_space_group_name_H-M_alt 'P 4/m m m'
_space_group_IT_number 123
_space_group_name_Hall '-P 4 2'
loop_
_atom_site_label
_atom_site_fract_x
_atom_site_fract_y
_atom_site_fract_z
Tl1 0.000 0.000 0.000
Rh1 0.500 0.500 0.000
Au1 0.000 0.500 0.500
# - excess energy over the best structure of this formula in the dataset (meV per atom) = 0
# - formation energy from the elements (meV/atom) = 53
# - V (Å³ per cell) = 72.9

---

14.
# GGA-PBE TlRhAu2, optimized geometry
data_TlRhAu2
_cell_length_a 3.137
_cell_length_b 5.080
_cell_length_c 4.724
_cell_angle_alpha 90.00
_cell_angle_beta 91.31
_cell_angle_gamma 90.00
_space_group_name_H-M_alt 'P 1 2/m 1'
_space_group_IT_number 10
_space_group_name_Hall '-P 2y'
loop_
_atom_site_label
_atom_site_fract_x
_atom_site_fract_y
_atom_site_fract_z
Tl1 0.000 0.000 0.000
Rh1 0.500 0.000 0.500
Au1 0.256 0.500 0.743
# - excess energy over the best structure of this formula in the dataset (meV per atom) = 112
# - formation energy from the elements (meV/atom) = 165
# - V (Å³ per cell) = 75.3